VASP calculation (PBE) on CsTlGaAu3 after structural relaxation.

## Properties
total magnetization	0.0	μB per formula unit
DOS(E_F)	0.327	states/eV/atom
raw total energy	-2.87	eV per atom

Structure (POSCAR):
```
CsTlGaAu3
1.0
-4.305 5.984 -0.679
-4.789 -3.909 -4.079
-5.800 -3.763 3.605
Cs Au Ga Tl
2 6 2 2
Direct
0.250 0.243 0.514
0.750 0.757 0.486
0.750 0.247 0.506
0.500 0.787 0.000
0.250 0.753 0.494
0.000 0.787 0.000
0.500 0.213 0.000
0.000 0.213 0.000
0.750 0.064 0.872
0.250 0.936 0.128
0.250 0.548 0.904
0.750 0.452 0.096
```